Pr2NpVO6 after structural relaxation, computed with PBE+U.

a b c (Å): 5.751 6.015 8.363
angles (deg): 90.00 88.85 90.00
Each line ends with the local moment (μB).
Fractional positions:
Np 0.500 0.000 0.500  3.17
O 0.691 0.302 0.937  -0.04
O 0.802 0.803 0.933  -0.03
Pr 0.519 0.559 0.752  0.04
O 0.873 0.554 0.255  -0.02
O 0.698 0.303 0.567  -0.03
Pr 0.481 0.441 0.248  0.04
O 0.302 0.697 0.433  -0.03
Np 0.000 0.500 0.000  3.17
Pr 0.981 0.059 0.748  0.04
O 0.127 0.446 0.745  -0.02
O 0.373 0.946 0.755  -0.02
O 0.809 0.802 0.563  -0.04
O 0.198 0.197 0.067  -0.03
O 0.309 0.698 0.063  -0.04
Pr 0.019 0.941 0.252  0.04
O 0.627 0.054 0.245  -0.02
V 0.500 0.000 0.000  2.58
V 0.000 0.500 0.500  2.58
O 0.191 0.198 0.437  -0.04

raw total energy: -0.3245 hartree per atom
M_tot: 12.00 μB/cell
crystal system: monoclinic